one | ## SrBr2F (GGA-PBE)

Data for an optimized crystal structure of SrBr2F.

The space group is I-42d (No. 122) and the conventional cell measures 4.262, 4.262 and 22.563 Å, with angles of 90.00, 90.00 and 90.00 degrees. The distinct sites, in fractional coordinates, are Sr at (0.000, 0.000, 0.000), Br at (0.250, 0.250, 0.125) and F at (0.000, 0.000, 0.500).

The size of the total moment is 0.000 μB/f.u. The value obtained for the mass density is 4.32 g/cm³.

=====

two | ## SrBr2F (GGA-PBE)

Data for an optimized crystal structure of SrBr2F.

The space group is R-3m (No. 166, hexagonal axes) and the conventional cell measures 4.7948, 4.7948 and 22.9991 Å, with angles of 90.00, 90.00 and 120.00 degrees. The distinct sites, in fractional coordinates, are Sr at (0.0000, 0.0000, 0.0000), Br at (0.0000, 0.0000, 0.3940) and F at (0.0000, 0.0000, 0.5000).

The size of the total moment is 1.000 μB/f.u. The value obtained for the mass density is 2.90 g/cm³.

=====

three | ## SrBr2F (GGA-PBE)

Data for an optimized crystal structure of SrBr2F.

The space group is Fm-3m (No. 225) and the conventional cell measures 7.381, 7.381 and 7.381 Å, with angles of 90.00, 90.00 and 90.00 degrees. The distinct sites, in fractional coordinates, are Sr at (0.000, 0.000, 0.000), Br at (0.250, 0.250, 0.250) and F at (0.000, 0.000, 0.500).

The size of the total moment is 1.000 μB/f.u. The value obtained for the mass density is 4.40 g/cm³.

=====

Pick one: it beats the second-best structure by 113 meV per atom.

=====

one | ## SrTlBr2F (GGA-PBE)

Data for an optimized crystal structure of SrTlBr2F.

The space group is P4/mmm (No. 123) and the conventional cell measures 6.098, 6.098 and 4.615 Å, with angles of 90.00, 90.00 and 90.00 degrees. The distinct sites, in fractional coordinates, are Sr at (0.000, 0.000, 0.000), Tl at (0.500, 0.500, 0.500), Br at (0.000, 0.500, 0.000) and F at (0.000, 0.000, 0.500).

The size of the total moment is 0.000 μB/f.u. The value obtained for the mass density is 4.56 g/cm³.

=====

two | ## SrTlBr2F (GGA-PBE)

Data for an optimized crystal structure of SrTlBr2F.

The space group is P2_1/m (No. 11) and the conventional cell measures 8.130, 4.417 and 9.844 Å, with angles of 90.00, 106.03 and 90.00 degrees. The distinct sites, in fractional coordinates, are Sr at (0.205, 0.250, 0.184), Tl at (0.309, 0.250, 0.684), Br at (0.148, 0.750, 0.382), Br at (0.199, 0.750, 0.961) and F at (0.496, 0.250, 0.269).

The size of the total moment is 0.000 μB/f.u. The value obtained for the mass density is 4.60 g/cm³.

=====

Pick one: it beats the second-best structure by 11 meV per atom.

=====

one | ## Ta2BrF (GGA-PBE)

Data for an optimized crystal structure of Ta2BrF.

The space group is Fm-3m (No. 225) and the conventional cell measures 6.328, 6.328 and 6.328 Å, with angles of 90.00, 90.00 and 90.00 degrees. The distinct sites, in fractional coordinates, are Ta at (0.250, 0.250, 0.250), Br at (0.000, 0.000, 0.000) and F at (0.000, 0.000, 0.500).

The size of the total moment is 0.000 μB/f.u. The value obtained for the mass density is 12.08 g/cm³.

=====

two | ## Ta2BrF (GGA-PBE)

Data for an optimized crystal structure of Ta2BrF.

The space group is I-42d (No. 122) and the conventional cell measures 4.037, 4.037 and 17.248 Å, with angles of 90.00, 90.00 and 90.00 degrees. The distinct sites, in fractional coordinates, are Ta at (0.239, 0.250, 0.125), Br at (0.000, 0.000, 0.500) and F at (0.000, 0.000, 0.000).

The size of the total moment is 0.000 μB/f.u. The value obtained for the mass density is 10.89 g/cm³.

=====

Pick two: it beats the second-best structure by 513 meV per atom.

=====

one | ## TeBrF3 (GGA-PBE)

Data for an optimized crystal structure of TeBrF3.

The space group is Pm-3m (No. 221) and the conventional cell measures 4.623, 4.623 and 4.623 Å, with angles of 90.00, 90.00 and 90.00 degrees. The distinct sites, in fractional coordinates, are Te at (0.000, 0.000, 0.000), Br at (0.500, 0.500, 0.500) and F at (0.000, 0.500, 0.500).

The size of the total moment is 2.957 μB/f.u. The value obtained for the mass density is 4.45 g/cm³.

=====

two | ## TeBrF3 (GGA-PBE)

Data for an optimized crystal structure of TeBrF3.

The space group is Pmn2_1 (No. 31) and the conventional cell measures 7.438, 5.405 and 5.545 Å, with angles of 90.00, 90.00 and 90.00 degrees. The distinct sites, in fractional coordinates, are Te at (0.000, 0.023, 0.000), Br at (0.000, 0.630, 0.268), F at (0.000, 0.243, 0.721) and F at (0.193, 0.869, 0.828).

The size of the total moment is 0.000 μB/f.u. The value obtained for the mass density is 3.94 g/cm³.

=====

Pick two: it beats the second-best structure by 1413 meV per atom.

=====

one | ## Te2BrF2 (GGA-PBE)

Data for an optimized crystal structure of Te2BrF2.

The space group is P4/mbm (No. 127) and the conventional cell measures 7.755, 7.755 and 3.222 Å, with angles of 90.00, 90.00 and 90.00 degrees. The distinct sites, in fractional coordinates, are Te at (0.130, 0.370, 0.000), Br at (0.000, 0.000, 0.000) and F at (0.166, 0.666, 0.500).

The size of the total moment is 0.000 μB/f.u. The value obtained for the mass density is 6.39 g/cm³.

=====

two | ## Te2BrF2 (GGA-PBE)

Data for an optimized crystal structure of Te2BrF2.

The space group is I4/mmm (No. 139) and the conventional cell measures 4.525, 4.525 and 10.731 Å, with angles of 90.00, 90.00 and 90.00 degrees. The distinct sites, in fractional coordinates, are Te at (0.000, 0.000, 0.122), Br at (0.000, 0.000, 0.500) and F at (0.000, 0.500, 0.250).

The size of the total moment is 0.000 μB/f.u. The value obtained for the mass density is 5.64 g/cm³.

=====

Pick one: it beats the second-best structure by 65 meV per atom.

=====

one | ## TeBr3F (GGA-PBE)

Data for an optimized crystal structure of TeBr3F.

The space group is Cmcm (No. 63) and the conventional cell measures 10.107, 8.444 and 8.032 Å, with angles of 90.00, 90.00 and 90.00 degrees. The distinct sites, in fractional coordinates, are Te at (0.000, 0.014, 0.250), Br at (0.000, 0.328, 0.250), Br at (0.195, 0.000, 0.000) and F at (0.000, 0.223, 0.750).

The size of the total moment is 0.000 μB/f.u. The value obtained for the mass density is 3.74 g/cm³.

=====

two | ## TeBr3F (GGA-PBE)

Data for an optimized crystal structure of TeBr3F.

The space group is P2/c (No. 13) and the conventional cell measures 6.442, 4.820 and 22.837 Å, with angles of 90.00, 94.60 and 90.00 degrees. The distinct sites, in fractional coordinates, are Te at (0.058, 0.169, 0.156), Br at (0.163, 0.219, 0.440), Br at (0.275, 0.260, 0.279), Br at (0.351, 0.095, 0.607) and F at (0.026, 0.205, 0.827).

The size of the total moment is 0.000 μB/f.u. The value obtained for the mass density is 3.63 g/cm³.

=====

Pick two: it beats the second-best structure by 37 meV per atom.